The following is a PBE calculation of a relaxed structure of LaScAu, from the Alexandria database.

```
data_LaScAu
_cell_length_a 3.7337
_cell_length_b 3.7337
_cell_length_c 6.9181
_cell_angle_alpha 90.00
_cell_angle_beta 90.00
_cell_angle_gamma 120.00
_symmetry_space_group_name_H-M 'P 3 m 1'
_symmetry_Int_Tables_number 156
loop_
_symmetry_equiv_pos_as_xyz
'x,y,z'
'-y,x-y,z'
'-x+y,-x,z'
'-y,-x,z'
'-x+y,y,z'
'x,x-y,z'
loop_
_atom_site_label
_atom_site_fract_x
_atom_site_fract_y
_atom_site_fract_z
_atom_site_occupancy
La1 0.0000 0.0000 0.0000 1
Sc1 0.6667 0.3333 0.4115 1
Au1 0.3333 0.6667 0.6634 1
```

Computed properties:
Energy above the lowest structure with this stoichiometry = 0.298 eV per atom
Total DFT energy (no corrections) = -15.48 eV/cell

***

The following is a PBE calculation of a relaxed structure of La2ScAu2, from the Alexandria database.

```
data_La2ScAu2
_cell_length_a 8.641
_cell_length_b 8.641
_cell_length_c 3.653
_cell_angle_alpha 90.00
_cell_angle_beta 90.00
_cell_angle_gamma 90.00
_symmetry_space_group_name_H-M 'P 4/m b m'
_symmetry_Int_Tables_number 127
_symmetry_space_group_name_Hall '-P 4 2ab'
loop_
_atom_site_label
_atom_site_fract_x
_atom_site_fract_y
_atom_site_fract_z
_atom_site_occupancy
La1 0.155 0.345 0.000 1
Sc1 0.000 0.000 0.000 1
Au1 0.144 0.644 0.500 1
```

Computed properties:
Energy above the lowest structure with this stoichiometry = 0.236 eV per atom
Total DFT energy (no corrections) = -49.43 eV/cell

***

The following is a PBE calculation of a relaxed structure of La3Sc2Au3, from the Alexandria database.

```
data_La3Sc2Au3
_cell_length_a 3.704
_cell_length_b 5.184
_cell_length_c 22.055
_cell_angle_alpha 90.00
_cell_angle_beta 90.00
_cell_angle_gamma 90.00
_symmetry_space_group_name_H-M 'I m m m'
_symmetry_Int_Tables_number 71
_symmetry_space_group_name_Hall '-I 2 2'
loop_
_atom_site_label
_atom_site_fract_x
_atom_site_fract_y
_atom_site_fract_z
_atom_site_occupancy
La1 0.000 0.000 0.000 1
La2 0.000 0.500 0.121 1
Sc1 0.000 0.000 0.236 1
Au1 0.000 0.000 0.500 1
Au2 0.000 0.500 0.359 1
```

Computed properties:
Total DFT energy (no corrections) = -83.90 eV/cell

***

The following is a PBE calculation of a relaxed structure of LaSc3Au, from the Alexandria database.

```
data_LaSc3Au
_cell_length_a 5.262
_cell_length_b 5.262
_cell_length_c 5.262
_cell_angle_alpha 90.00
_cell_angle_beta 90.00
_cell_angle_gamma 90.00
_symmetry_space_group_name_H-M 'P m -3 m'
_symmetry_Int_Tables_number 221
_symmetry_space_group_name_Hall '-P 4 2 3'
loop_
_atom_site_label
_atom_site_fract_x
_atom_site_fract_y
_atom_site_fract_z
_atom_site_occupancy
La1 0.000 0.000 0.000 1
Sc1 0.000 0.500 0.500 1
Au1 0.500 0.500 0.500 1
```

Computed properties:
Energy above the lowest structure with this stoichiometry = 0.000 eV per atom
Total DFT energy (no corrections) = -27.68 eV/cell

***

ΔE_f: -0.95; -1.97; -4.67; -0.48 (eV per formula unit)